An optimized crystal structure of SrNiBi3. Source: Alexandria via LeMat-Bulk, functional GGA-PBE.

Properties
SG: Pm-3m
Volume in Å³ per atom: 30.2
VASP energy in Ry per atom: -0.2923

a = 5.3234 Å, b = 5.3234 Å, c = 5.3234 Å
α = 90.00°, β = 90.00°, γ = 90.00°
With the nearest neighbours (Å) after each atom.
Sites, in units of the cell vectors:
Bi 0.0000 0.0000 0.5000  2 Ni 2.66
Ni 0.0000 0.0000 0.0000  6 Bi 2.66
Sr 0.5000 0.5000 0.5000  12 Bi 3.76
Bi 0.0000 0.5000 0.0000  2 Ni 2.66
Bi 0.5000 0.0000 0.0000  2 Ni 2.66

An optimized crystal structure of YHfTiNb2. Source: Alexandria via LeMat-Bulk, functional GGA-PBE.

Properties
SG: P4/mmm
Volume in Å³ per atom: 23.4
VASP energy in Ry per atom: -0.5801

a = 4.7609 Å, b = 5.1699 Å, c = 4.7609 Å
α = 90.00°, β = 90.00°, γ = 90.00°
With the nearest neighbours (Å) after each atom.
Sites, in units of the cell vectors:
Ti 0.0000 0.0000 0.0000  4 Nb 2.38, 2 Y 2.58
Nb 0.5000 0.0000 0.0000  2 Ti 2.38
Nb 0.0000 0.0000 0.5000  2 Ti 2.38
Y 0.0000 0.5000 0.0000  2 Ti 2.58
Hf 0.5000 0.5000 0.5000  4 Y 3.37, 8 Nb 3.51

An optimized crystal structure of Pr2YEr. Source: Alexandria via LeMat-Bulk, functional GGA-PBE.

Properties
SG: R3m
Volume in Å³ per atom: 33.8
VASP energy in Ry per atom: -0.3767

a = 3.6435 Å, b = 3.6435 Å, c = 11.9398 Å
α = 81.22°, β = 81.22°, γ = 59.99°
With the nearest neighbours (Å) after each atom.
Sites, in units of the cell vectors:
Pr 0.2505 0.2505 0.2491  3 Er 3.62, 3 Y 3.63, 6 Pr 3.64
Pr 0.0829 0.0829 0.7517  3 Er 3.58, 3 Y 3.62, 6 Pr 3.64
Y 0.4995 0.4995 0.5011  6 Pr 3.62-3.63, 6 Y 3.64
Er 0.6671 0.6671 0.9982  6 Pr 3.58-3.62, 6 Er 3.64

An optimized crystal structure of SnPd3F. Source: Alexandria via LeMat-Bulk, functional GGA-PBE.

Properties
E_form (uncorrected) in meV/atom: 437
SG: Pm-3m
Volume in Å³ per atom: 25.0
VASP energy in Ry per atom: -0.2832

a = 5.0017 Å, b = 5.0017 Å, c = 5.0017 Å
α = 90.00°, β = 90.00°, γ = 90.00°
With the nearest neighbours (Å) after each atom.
Sites, in units of the cell vectors:
Pd 0.0000 0.0000 0.5000  2 Sn 2.50
Pd 0.0000 0.5000 0.0000  2 Sn 2.50
Pd 0.5000 0.0000 0.0000  2 Sn 2.50
F 0.5000 0.5000 0.5000  12 Pd 3.54
Sn 0.0000 0.0000 0.0000  6 Pd 2.50

An optimized crystal structure of LaScZn. Source: Alexandria via LeMat-Bulk, functional GGA-PBE.

Properties
SG: Cmcm
Volume in Å³ per atom: 25.5
VASP energy in Ry per atom: -0.3194

a = 8.9601 Å, b = 6.5838 Å, c = 5.1846 Å
α = 90.00°, β = 90.00°, γ = 90.00°
With the nearest neighbours (Å) after each atom.
Sites, in units of the cell vectors:
Sc 0.0000 0.5000 0.0000  2 Sc 3.29, 6 Zn 3.40-3.42, 6 La 3.41
Sc 0.0000 0.0000 0.0000  2 Sc 3.29, 6 Zn 3.40-3.42, 6 La 3.41
La 0.6663 0.7500 0.0002  5 Zn 2.99-3.29
Zn 0.8325 0.7500 0.5003  5 La 2.99-3.29
Zn 0.6675 0.2500 0.0003  5 La 2.99-3.29
Zn 0.1675 0.2500 0.4997  5 La 2.99-3.29
Sc 0.5000 0.0000 0.5000  2 Sc 3.29, 6 Zn 3.40-3.42, 6 La 3.41
La 0.1663 0.7500 0.4998  5 Zn 2.99-3.29
La 0.8337 0.2500 0.5002  5 Zn 2.99-3.29
Zn 0.3325 0.7500 0.9997  5 La 2.99-3.29
La 0.3337 0.2500 0.9998  5 Zn 2.99-3.29
Sc 0.5000 0.5000 0.5000  2 Sc 3.29, 6 Zn 3.40-3.42, 6 La 3.41

An optimized crystal structure of LiCd2Ni2. Source: Alexandria via LeMat-Bulk, functional GGA-PBE.

Properties
SG: I4/mmm
Volume in Å³ per atom: 19.0
VASP energy in Ry per atom: -0.2072

a = 4.2976 Å, b = 4.2976 Å, c = 5.9732 Å
α = 68.92°, β = 68.92°, γ = 90.00°
With the nearest neighbours (Å) after each atom.
Sites, in units of the cell vectors:
Li 0.0000 0.0000 0.0000  8 Ni 3.23, 8 Cd 3.35
Cd 0.7500 0.2500 0.5000  4 Ni 2.60
Cd 0.2500 0.7500 0.5000  4 Ni 2.60
Ni 0.6073 0.6073 0.7855  1 Ni 2.21
Ni 0.3927 0.3927 0.2145  1 Ni 2.21

An optimized crystal structure of ScOsRu. Source: Alexandria via LeMat-Bulk, functional GGA-PBE.

Properties
SG: F-43m
Volume in Å³ per atom: 18.3
VASP energy in Ry per atom: -0.5890

a = 4.2652 Å, b = 4.2652 Å, c = 4.2652 Å
α = 60.00°, β = 60.00°, γ = 60.00°
With the nearest neighbours (Å) after each atom.
Sites, in units of the cell vectors:
Sc 0.7500 0.7500 0.7500  4 Os 2.61, 4 Ru 2.61
Os 0.0000 0.0000 0.0000  4 Sc 2.61
Ru 0.5000 0.5000 0.5000  4 Sc 2.61

An optimized crystal structure of Sc4CdIn. Source: Alexandria via LeMat-Bulk, functional GGA-PBE.

Properties
SG: R-3m
Volume in Å³ per atom: 27.0
VASP energy in Ry per atom: -0.3504

a = 4.8552 Å, b = 4.8548 Å, c = 8.4154 Å
α = 73.23°, β = 73.23°, γ = 60.00°
With the nearest neighbours (Å) after each atom.
Sites, in units of the cell vectors:
Sc 0.8766 0.8765 0.3702  1 Cd 2.94, 3 In 2.99
In 0.5000 0.5000 0.5000  8 Sc 2.99-3.01
Sc 0.6265 0.6265 0.1205  3 Cd 2.96, 1 In 3.01
Cd 0.0000 0.0000 0.0000  8 Sc 2.94-2.96
Sc 0.3735 0.3735 0.8795  3 Cd 2.96, 1 In 3.01
Sc 0.1234 0.1235 0.6298  1 Cd 2.94, 3 In 2.99

An optimized crystal structure of ThTiI2. Source: Alexandria via LeMat-Bulk, functional GGA-PBE.

Properties
E_form (uncorrected) in meV/atom: -113
SG: R-3m
Volume in Å³ per atom: 31.9
VASP energy in Ry per atom: -0.3467

a = 3.7557 Å, b = 3.7557 Å, c = 10.6758 Å
α = 79.87°, β = 79.87°, γ = 60.00°
With the nearest neighbours (Å) after each atom.
Sites, in units of the cell vectors:
Th 0.5000 0.5000 0.5000  6 I 3.23
I 0.9095 0.9095 0.2714  1 Ti 2.84
I 0.0905 0.0905 0.7286  1 Ti 2.84
Ti 0.0000 0.0000 0.0000  2 I 2.84

An optimized crystal structure of CaIn. Source: Alexandria via LeMat-Bulk, functional GGA-PBE.

Properties
SG: P-6m2
Volume in Å³ per atom: 31.3
VASP energy in Ry per atom: -0.1933

a = 3.7325 Å, b = 3.7325 Å, c = 5.1871 Å
α = 90.00°, β = 90.00°, γ = 120.00°
With the nearest neighbours (Å) after each atom.
Sites, in units of the cell vectors:
Ca 0.0000 0.0000 0.0000  6 In 3.37, 6 Ca 3.73
In 0.6667 0.3333 0.5000  6 Ca 3.37, 6 In 3.73

An optimized crystal structure of BeTlCu2. Source: Alexandria via LeMat-Bulk, functional GGA-PBE.

Properties
SG: Pmm2
Volume in Å³ per atom: 15.1
VASP energy in Ry per atom: -0.2374

a = 4.0356 Å, b = 3.0019 Å, c = 4.9744 Å
α = 90.01°, β = 90.00°, γ = 90.00°
With the nearest neighbours (Å) after each atom.
Sites, in units of the cell vectors:
Cu 0.0000 0.8751 0.0305  2 Be 2.34, 4 Cu 2.57
Be 0.5000 0.8746 0.7916  4 Cu 2.30-2.34
Tl 0.0000 0.3754 0.5368  4 Be 2.81-2.82, 6 Cu 2.82-2.93, 2 Tl 3.00
Cu 0.5000 0.3750 0.1411  2 Be 2.30

An optimized crystal structure of La6Si2BiTe3. Source: Alexandria via LeMat-Bulk, functional GGA-PBE.

Properties
E_form (uncorrected) in meV/atom: -1242
SG: C2/m
Volume in Å³ per atom: 33.5
VASP energy in Ry per atom: -0.4203

a = 4.5290 Å, b = 9.1820 Å, c = 10.1956 Å
α = 103.23°, β = 102.83°, γ = 90.00°
With the nearest neighbours (Å) after each atom.
Sites, in units of the cell vectors:
La 0.0100 0.2551 0.0199  1 Si 3.05, 3 Te 3.23-3.34, 2 Bi 3.23
Te 0.5000 0.5000 0.0000  6 La 3.23-3.35
La 0.3309 0.8927 0.6619  2 Si 3.09, 3 Te 3.26-3.36, 1 Bi 3.27
La 0.6731 0.5693 0.3462  3 Si 3.08-3.11, 3 Te 3.35-3.36
Te 0.1630 0.8337 0.3259  6 La 3.26-3.36
Te 0.8370 0.1663 0.6741  6 La 3.26-3.36
Si 0.1677 0.3350 0.3355  6 La 3.05-3.11
La 0.3269 0.4307 0.6538  3 Si 3.08-3.11, 3 Te 3.35-3.36
La 0.9900 0.7449 0.9801  1 Si 3.05, 3 Te 3.23-3.34, 2 Bi 3.23
Bi 0.5000 0.0000 0.0000  6 La 3.23-3.27
Si 0.8323 0.6650 0.6645  6 La 3.05-3.11
La 0.6691 0.1073 0.3381  2 Si 3.09, 3 Te 3.26-3.36, 1 Bi 3.27

An optimized crystal structure of Sc2ReTc. Source: Alexandria via LeMat-Bulk, functional GGA-PBE.

Properties
SG: F-43m
Volume in Å³ per atom: 17.0
VASP energy in Ry per atom: -0.6550

a = 4.5821 Å, b = 4.5821 Å, c = 4.5821 Å
α = 60.00°, β = 60.00°, γ = 60.00°
With the nearest neighbours (Å) after each atom.
Sites, in units of the cell vectors:
Tc 0.7500 0.7500 0.7500  4 Re 2.81, 4 Sc 2.81
Re 0.5000 0.5000 0.5000  4 Sc 2.81, 4 Tc 2.81
Sc 0.0000 0.0000 0.0000  4 Tc 2.81, 4 Sc 2.81
Sc 0.2500 0.2500 0.2500  4 Sc 2.81, 4 Re 2.81

An optimized crystal structure of Ce4PdRu. Source: Alexandria via LeMat-Bulk, functional GGA-PBE.

Properties
SG: C2/c
Volume in Å³ per atom: 26.1
VASP energy in Ry per atom: -0.4853

a = 6.5585 Å, b = 7.0779 Å, c = 8.1312 Å
α = 108.43°, β = 105.94°, γ = 107.19°
With the nearest neighbours (Å) after each atom.
Sites, in units of the cell vectors:
Ce 0.2524 0.0795 0.5468  1 Ru 2.73, 1 Pd 2.90, 1 Ce 2.95
Pd 0.1535 0.9035 0.8070  6 Ce 2.90-2.97
Ce 0.4549 0.6860 0.8834  2 Ru 2.68-2.91, 2 Pd 2.90-2.97
Ce 0.7476 0.9205 0.4532  1 Ru 2.73, 1 Pd 2.90, 1 Ce 2.95
Ru 0.6623 0.4123 0.8247  6 Ce 2.68-2.91
Pd 0.8465 0.0965 0.1930  6 Ce 2.90-2.97
Ce 0.0715 0.8026 0.1166  2 Ru 2.68-2.91, 2 Pd 2.90-2.97
Ce 0.5451 0.3140 0.1166  2 Ru 2.68-2.91, 2 Pd 2.90-2.97
Ce 0.2056 0.5327 0.4532  1 Ru 2.73, 1 Pd 2.90, 1 Ce 2.95
Ce 0.9285 0.1974 0.8834  2 Ru 2.68-2.91, 2 Pd 2.90-2.97
Ce 0.7944 0.4673 0.5468  1 Ru 2.73, 1 Pd 2.90, 1 Ce 2.95
Ru 0.3377 0.5877 0.1753  6 Ce 2.68-2.91